No. 1
TlSeI3 after structural relaxation, computed with PBE.

Geometry as POSCAR:
```
TlSeI3
1.0
-4.9731 1.6809 -2.5854
-3.0757 -2.3480 4.3896
0.2235 5.0895 2.8789
I Tl Se
3 1 1
Cartesian
-1.5378 -1.1740 2.1948
0.1118 2.5448 1.4395
-2.4865 0.8404 -1.2927
-3.9126 2.2112 2.3416
0.0000 0.0000 0.0000
```

Computed properties:
E ... -11.43 eV for the cell shown
Formation energy (no corrections) ... -90 kJ/mol of formula units
Space-group type ... Pm-3m (221)
Relative energy among the computed polymorphs ... 0.000 eV per atom



No. 2
TlSeI4 after structural relaxation, computed with PBE.

Geometry as POSCAR:
```
TlSeI4
1.0
-6.8534 -1.8360 1.7075
5.0659 -5.1671 0.9462
1.8140 5.4671 4.4804
Tl Se I
1 1 4
Cartesian
-2.9666 0.0648 3.7574
-0.8938 -3.5015 1.3269
0.5134 1.0706 3.1976
-0.4909 -2.6229 3.9427
1.7903 -4.2396 1.1613
-1.7598 2.7197 5.9668
```

Computed properties:
E ... -12.78 eV for the cell shown
Formation energy (no corrections) ... -70 kJ/mol of formula units
Space-group type ... I-4 (82)
Relative energy among the computed polymorphs ... 0.003 eV per atom



No. 3
Tl2SeI after structural relaxation, computed with PBE.

Geometry as POSCAR:
```
Tl2SeI
1.0
0.0000 3.9999 3.9999
3.9999 0.0000 3.9999
3.9999 3.9999 0.0000
I Tl Se
1 2 1
Cartesian
3.9999 3.9999 3.9999
1.9999 1.9999 1.9999
5.9998 5.9998 5.9998
0.0000 0.0000 0.0000
```

Computed properties:
E ... -10.71 eV for the cell shown
Formation energy (no corrections) ... -91 kJ/mol of formula units
Space-group type ... Fm-3m (225)
Relative energy among the computed polymorphs ... 0.148 eV per atom



No. 4
Tl2SeI after structural relaxation, computed with PBE.

Geometry as POSCAR:
```
Tl2SeI
1.0
3.9471 0.0000 0.0000
0.0000 3.9471 0.0000
0.0000 0.0000 8.1374
I Tl Se
1 2 1
Cartesian
1.9736 1.9736 4.0687
0.0000 0.0000 6.3822
0.0000 0.0000 1.7552
1.9736 1.9736 0.0000
```

Computed properties:
E ... -10.89 eV for the cell shown
Formation energy (no corrections) ... -108 kJ/mol of formula units
Space-group type ... P4/mmm (123)
Relative energy among the computed polymorphs ... 0.105 eV per atom



No. 5
Tl2SeI after structural relaxation, computed with PBE.

Geometry as POSCAR:
```
Tl2SeI
1.0
8.2633 0.0000 0.0000
0.0000 8.2633 0.0000
4.1317 4.1317 4.6819
I Tl Se
2 4 2
Cartesian
0.0000 0.0000 0.0000
8.2633 4.1317 2.3409
5.8534 2.0658 1.1705
2.4100 6.1975 1.1705
6.1975 6.5416 3.5114
10.3292 9.9851 3.5114
4.1317 4.1317 0.0000
4.1317 8.2633 2.3409
```

Computed properties:
E ... -21.98 eV for the cell shown
Formation energy (no corrections) ... -118 kJ/mol of formula units
Space-group type ... I-42d (122)
Relative energy among the computed polymorphs ... 0.079 eV per atom



No. 6
Tl2SeI2 after structural relaxation, computed with PBE.

Geometry as POSCAR:
```
Tl2SeI2
1.0
6.7875 0.0000 0.0000
0.0000 6.7875 0.0000
3.3937 3.3937 4.6395
I Tl Se
2 2 1
Cartesian
3.3937 3.3937 1.8123
6.7875 6.7875 2.8272
6.7875 3.3937 2.3197
3.3937 6.7875 2.3197
0.0000 0.0000 0.0000
```

Computed properties:
E ... -12.70 eV for the cell shown
Formation energy (no corrections) ... -133 kJ/mol of formula units
Space-group type ... I4/mmm (139)
Relative energy among the computed polymorphs ... 0.000 eV per atom



No. 7
TlSe2I after structural relaxation, computed with PBE.

Geometry as POSCAR:
```
TlSe2I
1.0
7.5550 -3.4512 2.9162
8.1545 -3.0075 -1.3970
8.7025 0.4321 1.2540
I Tl Se
1 1 2
Cartesian
0.0000 0.0000 0.0000
12.2060 -3.0133 1.3866
21.7533 -5.3702 2.4711
2.6588 -0.6564 0.3020
```

Computed properties:
E ... -11.03 eV for the cell shown
Formation energy (no corrections) ... -14 kJ/mol of formula units
Space-group type ... R-3m (166)
Relative energy among the computed polymorphs ... 0.000 eV per atom



No. 8
Tl12Se3I5 after structural relaxation, computed with PBE.

Geometry as POSCAR:
```
Tl12Se3I5
1.0
17.2125 0.0000 0.0000
-5.7375 16.2281 0.0000
-5.7375 -8.1140 14.0539
Se I Tl
12 20 48
Cartesian
10.0406 5.0713 1.7567
10.0406 11.1568 1.7567
-1.4344 7.0998 8.7837
1.4344 -1.0143 5.2702
12.9094 0.0000 3.5135
1.4344 8.1140 3.5135
4.3031 0.0000 10.5405
-7.1719 8.1140 10.5405
4.3031 9.1283 8.7837
7.1719 1.0143 5.2702
-4.3031 -3.0428 12.2972
-4.3031 3.0428 12.2972
-1.4344 4.0570 3.5135
-2.8687 8.1140 0.0000
0.0000 0.0000 0.0000
4.3031 3.0428 1.7567
5.7375 -4.0570 7.0270
5.7375 8.1140 0.0000
-4.3031 9.1283 5.2702
7.1719 -5.0713 12.2972
7.1719 7.0998 5.2702
1.4344 -4.0570 10.5405
4.3031 12.1711 3.5135
2.8687 4.0570 7.0270
8.6062 0.0000 0.0000
-2.8687 -4.0570 7.0270
-1.4344 1.0143 8.7837
-1.4344 13.1853 1.7567
-5.7375 4.0570 7.0270
10.0406 -1.0143 8.7837
1.4344 5.0713 12.2972
7.1719 4.0570 10.5405
11.0411 2.3010 0.9416
0.4339 6.0230 5.5051
12.6025 3.0155 3.9039
7.4788 2.1839 2.4635
1.5110 6.4038 9.2084
11.6786 8.6119 2.1815
-1.1275 8.9456 6.3674
-4.6100 14.0442 2.4635
1.3578 9.8243 9.2084
8.4026 7.6162 2.1815
9.0402 4.3921 4.5634
9.0402 13.9271 0.9416
-4.3797 7.1196 7.9686
3.0724 5.9759 0.6596
-6.1714 11.8360 4.5634
3.3027 -2.0911 8.5489
-1.3578 0.7158 3.1231
3.0724 9.7543 1.5219
7.4788 13.2126 3.9039
-0.2036 6.4738 1.5219
-4.2265 8.8299 10.9309
3.9962 7.2825 6.3674
7.2485 9.1085 7.9686
5.9411 -2.1381 13.3944
1.7413 0.8316 7.6865
-1.5110 -0.9944 6.0854
-0.2036 10.2522 0.6596
-1.7413 -5.0986 10.1501
9.9640 -0.7158 3.1231
5.9411 1.6403 12.5320
2.6651 -1.6403 12.5320
2.4348 10.2051 5.5051
7.0953 7.3982 10.9309
11.9089 -3.7220 9.4905
10.1172 0.9944 6.0854
-3.3027 -5.8130 13.1123
2.6651 2.1381 13.3944
4.3797 -1.7103 4.8455
-2.6651 0.4979 11.8725
-3.3027 3.7220 9.4905
10.3475 -5.9301 11.5904
6.8650 -0.8316 7.6865
-1.7413 5.9301 11.5904
-5.9411 -0.4979 11.8725
4.2265 1.7103 4.8455
-6.8650 5.0986 10.1501
5.3036 2.0911 8.5489
-5.3036 5.8130 13.1123
```

Computed properties:
E ... -214.04 eV for the cell shown
Formation energy (no corrections) ... -667 kJ/mol of formula units
Space-group type ... Ia-3d (230)



No. 9
Tl2SeI2 after structural relaxation, computed with PBE.

Geometry as POSCAR:
```
Tl2SeI2
1.0
-3.8600 3.6282 6.8190
-7.2035 -4.4423 -1.7140
1.6043 -3.7144 2.8845
I Tl Se
4 4 2
Cartesian
-4.5697 -4.2086 1.4020
-7.7965 -3.1941 4.5029
-4.8895 -0.3199 6.5875
-1.6628 -1.3343 3.4865
-7.3596 -2.4976 0.8769
-7.9979 0.1131 4.5938
-3.7039 1.6836 4.2280
-3.0657 -0.9271 0.5112
0.0000 0.0000 0.0000
-5.5318 -0.4070 2.5525
```

Computed properties:
E ... -23.91 eV for the cell shown
Formation energy (no corrections) ... -61 kJ/mol of formula units
Space-group type ... P4/mbm (127)
Relative energy among the computed polymorphs ... 0.149 eV per atom



No. 10
Tl2SeI after structural relaxation, computed with PBE.

Geometry as POSCAR:
```
Tl2SeI
1.0
-3.2451 -2.5288 1.7829
-2.6781 -2.4162 -2.6635
3.1518 -7.8769 0.2025
Tl Se I
2 1 1
Cartesian
2.0842 -6.5797 0.0992
-0.9072 -2.9451 -0.1903
-0.8405 -11.1207 -0.3888
-1.3419 -6.4642 -0.3348
```

Computed properties:
E ... -11.24 eV for the cell shown
Formation energy (no corrections) ... -142 kJ/mol of formula units
Space-group type ... R3m (160)
Relative energy among the computed polymorphs ... 0.016 eV per atom